Entry 1:
DFT (PBE-GGA) results for an optimized crystal structure of PmMg2Sn.

## Properties
E_tot (eV/atom): -3.40
Calculated density (g/cm³): 5.2

Lattice parameters (Å, degrees): 4.570 4.570 4.814 90.00 90.00 90.00
Space group P4/mmm (No. 123)
Unique sites:
Pm 0.000 0.000 0.000 [1 per cell]
Mg 0.000 0.500 0.500 [2 per cell]
Sn 0.500 0.500 0.000 [1 per cell]

=====

Entry 2:
DFT (PBE-GGA) results for an optimized crystal structure of Pm2MgSn2.

## Properties
E_tot (eV/atom): -4.48
Calculated density (g/cm³): 6.5

Lattice parameters (Å, degrees): 7.805 7.805 4.609 90.00 90.00 90.00
Space group P4/mbm (No. 127)
Unique sites:
Pm 0.175 0.325 0.000 [4 per cell]
Mg 0.000 0.000 0.500 [2 per cell]
Sn 0.130 0.630 0.500 [4 per cell]

=====

Entry 3:
DFT (PBE-GGA) results for an optimized crystal structure of SrPmMg.

## Properties
E_tot (eV/atom): -2.29
Calculated density (g/cm³): 3.5

Lattice parameters (Å, degrees): 7.901 7.901 7.901 90.00 90.00 90.00
Space group F-43m (No. 216)
Unique sites:
Sr 0.000 0.000 0.000 [4 per cell]
Pm 0.000 0.000 0.500 [4 per cell]
Mg 0.250 0.250 0.750 [4 per cell]

=====

Entry 4:
DFT (PBE-GGA) results for an optimized crystal structure of PmMgTa.

## Properties
E_tot (eV/atom): -4.98
Calculated density (g/cm³): 7.3

Lattice parameters (Å, degrees): 6.839 6.839 6.839 90.00 90.00 90.00
Space group F-43m (No. 216)
Unique sites:
Pm 0.000 0.000 0.000 [4 per cell]
Mg 0.250 0.250 0.250 [4 per cell]
Ta 0.000 0.000 0.500 [4 per cell]

=====

Entry 5:
DFT (PBE-GGA) results for an optimized crystal structure of PmMgTa.

## Properties
E_tot (eV/atom): -4.62
Calculated density (g/cm³): 6.7

Lattice parameters (Å, degrees): 7.037 7.037 7.037 90.00 90.00 90.00
Space group F-43m (No. 216)
Unique sites:
Pm 0.000 0.000 0.000 [4 per cell]
Mg 0.250 0.250 0.750 [4 per cell]
Ta 0.250 0.250 0.250 [4 per cell]

=====

Entry 6:
DFT (PBE-GGA) results for an optimized crystal structure of PmMgTe.

## Properties
E_tot (eV/atom): -3.47
Calculated density (g/cm³): 5.0

Lattice parameters (Å, degrees): 7.317 7.317 7.317 90.00 90.00 90.00
Space group F-43m (No. 216)
Unique sites:
Pm 0.000 0.000 0.000 [4 per cell]
Mg 0.000 0.000 0.500 [4 per cell]
Te 0.250 0.250 0.750 [4 per cell]

=====

Entry 7:
DFT (PBE-GGA) results for an optimized crystal structure of PmMgTe.

## Properties
E_tot (eV/atom): -3.42
Calculated density (g/cm³): 4.9

Lattice parameters (Å, degrees): 7.403 7.403 7.403 90.00 90.00 90.00
Space group F-43m (No. 216)
Unique sites:
Pm 0.000 0.000 0.000 [4 per cell]
Mg 0.250 0.250 0.750 [4 per cell]
Te 0.250 0.250 0.250 [4 per cell]

=====

Entry 8:
DFT (PBE-GGA) results for an optimized crystal structure of Pm5MgTl3.

## Properties
E_tot (eV/atom): -3.90
Calculated density (g/cm³): 8.5

Lattice parameters (Å, degrees): 9.5507 9.5507 6.7353 90.00 90.00 120.00
Space group P6_3/mcm (No. 193)
Unique sites:
Pm 0.0000 0.3037 0.2500 [6 per cell]
Pm 0.3333 0.6667 0.0000 [4 per cell]
Mg 0.0000 0.0000 0.0000 [2 per cell]
Tl 0.0000 0.3579 0.7500 [6 per cell]

=====

Entry 9:
DFT (PBE-GGA) results for an optimized crystal structure of Pm3Mg4Tl4.

## Properties
E_tot (eV/atom): -3.01
Calculated density (g/cm³): 7.8

Lattice parameters (Å, degrees): 4.750 7.669 15.763 90.00 90.00 90.00
Space group Immm (No. 71)
Unique sites:
Pm 0.000 0.000 0.000 [2 per cell]
Pm 0.000 0.500 0.120 [4 per cell]
Mg 0.000 0.305 0.327 [8 per cell]
Tl 0.000 0.000 0.217 [4 per cell]
Tl 0.000 0.201 0.500 [4 per cell]

=====

Entry 10:
DFT (PBE-GGA) results for an optimized crystal structure of PmTmMg.

## Properties
E_tot (eV/atom): -3.18
Calculated density (g/cm³): 5.5

Lattice parameters (Å, degrees): 7.423 7.423 7.423 90.00 90.00 90.00
Space group F-43m (No. 216)
Unique sites:
Pm 0.000 0.000 0.000 [4 per cell]
Tm 0.000 0.000 0.500 [4 per cell]
Mg 0.250 0.250 0.250 [4 per cell]

=====

Entry 11:
DFT (PBE-GGA) results for an optimized crystal structure of PmMgU.

## Properties
E_tot (eV/atom): -4.77
Calculated density (g/cm³): 6.9

Lattice parameters (Å, degrees): 7.323 7.323 7.323 90.00 90.00 90.00
Space group F-43m (No. 216)
Unique sites:
Pm 0.000 0.000 0.000 [4 per cell]
Mg 0.250 0.250 0.250 [4 per cell]
U 0.000 0.000 0.500 [4 per cell]

=====

Entry 12:
DFT (PBE-GGA) results for an optimized crystal structure of PmMgW.

## Properties
E_tot (eV/atom): -4.83
Calculated density (g/cm³): 6.9

Lattice parameters (Å, degrees): 6.971 6.971 6.971 90.00 90.00 90.00
Space group F-43m (No. 216)
Unique sites:
Pm 0.000 0.000 0.000 [4 per cell]
Mg 0.250 0.250 0.750 [4 per cell]
W 0.250 0.250 0.250 [4 per cell]

=====

Entry 13:
DFT (PBE-GGA) results for an optimized crystal structure of PmYMg.

## Properties
E_tot (eV/atom): -3.86
Calculated density (g/cm³): 4.1

Lattice parameters (Å, degrees): 7.484 7.484 7.484 90.00 90.00 90.00
Space group F-43m (No. 216)
Unique sites:
Pm 0.000 0.000 0.000 [4 per cell]
Y 0.000 0.000 0.500 [4 per cell]
Mg 0.250 0.250 0.250 [4 per cell]

=====

Entry 14:
DFT (PBE-GGA) results for an optimized crystal structure of Pm3MgZn2.

## Properties
E_tot (eV/atom): -3.31
Calculated density (g/cm³): 6.3

Lattice parameters (Å, degrees): 3.681 3.681 11.436 90.00 90.00 90.00
Space group P4/mmm (No. 123)
Unique sites:
Pm 0.000 0.000 0.000 [1 per cell]
Pm 0.000 0.000 0.311 [2 per cell]
Mg 0.500 0.500 0.500 [1 per cell]
Zn 0.500 0.500 0.160 [2 per cell]

=====

Entry 15:
DFT (PBE-GGA) results for an optimized crystal structure of Pm2Mg2Zn15.

## Properties
E_tot (eV/atom): -1.92
Calculated density (g/cm³): 6.9

Lattice parameters (Å, degrees): 9.0877 9.0877 13.3684 90.00 90.00 120.00
Space group R-3m (No. 166, hexagonal axes)
Unique sites:
Pm 0.0000 0.0000 0.1586 [6 per cell]
Mg 0.0000 0.0000 0.3965 [6 per cell]
Zn 0.0000 0.2941 0.5000 [18 per cell]
Zn 0.0000 0.5000 0.0000 [9 per cell]
Zn 0.0101 0.5051 0.6513 [18 per cell]

=====

Entry 16:
DFT (PBE-GGA) results for an optimized crystal structure of Pr3Mg4.

## Properties
E_tot (eV/atom): -2.95
Calculated density (g/cm³): 4.2

Lattice parameters (Å, degrees): 9.3512 9.3512 5.4194 90.00 90.00 120.00
Space group P6_3/m (No. 176)
Unique sites:
Pr 0.0943 0.6333 0.2500 [6 per cell]
Mg 0.0459 0.8218 0.7500 [6 per cell]
Mg 0.3333 0.6667 0.7500 [2 per cell]

=====

Entry 17:
DFT (PBE-GGA) results for an optimized crystal structure of Pr2Mg17.

## Properties
E_tot (eV/atom): -1.95
Calculated density (g/cm³): 2.5

Lattice parameters (Å, degrees): 10.2954 10.2954 15.2565 90.00 90.00 120.00
Space group R-3m (No. 166, hexagonal axes)
Unique sites:
Pr 0.0000 0.0000 0.1702 [6 per cell]
Mg 0.0000 0.0000 0.4009 [6 per cell]
Mg 0.0000 0.3011 0.5000 [18 per cell]
Mg 0.0000 0.5000 0.0000 [9 per cell]
Mg 0.0073 0.5037 0.6521 [18 per cell]

=====

Entry 18:
DFT (PBE-GGA) results for an optimized crystal structure of Pr3Mg4.

## Properties
E_tot (eV/atom): -2.93
Calculated density (g/cm³): 4.2

Lattice parameters (Å, degrees): 9.2606 9.2606 5.5096 90.00 90.00 120.00
Space group P6_3/m (No. 176)
Unique sites:
Pr 0.0736 0.2652 0.2500 [6 per cell]
Mg 0.1071 0.4965 0.7500 [6 per cell]
Mg 0.3333 0.6667 0.2500 [2 per cell]

=====

Entry 19:
DFT (PBE-GGA) results for an optimized crystal structure of Pr5Mg.

## Properties
E_tot (eV/atom): -4.19
Calculated density (g/cm³): 5.8

Lattice parameters (Å, degrees): 3.6663 3.6663 17.7904 90.00 90.00 120.00
Space group P-6m2 (No. 187)
Unique sites:
Pr 0.0000 0.0000 0.0000 [1 per cell]
Pr 0.0000 0.0000 0.3437 [2 per cell]
Pr 0.6667 0.3333 0.1724 [2 per cell]
Mg 0.6667 0.3333 0.5000 [1 per cell]

=====

Entry 20:
DFT (PBE-GGA) results for an optimized crystal structure of Pr3Mg2.

## Properties
E_tot (eV/atom): -3.47
Calculated density (g/cm³): 5.3

Lattice parameters (Å, degrees): 9.3747 9.3747 11.7330 90.00 90.00 120.00
Space group R-3c (No. 167, hexagonal axes)
Unique sites:
Pr 0.0000 0.3237 0.2500 [18 per cell]
Mg 0.0000 0.0000 0.1236 [12 per cell]